Entry 1:
PmSm6In5 (PBE, optimized geometry); distance to the lowest polymorph of the same formula = 0 meV/atom; electronic total energy = -4.2901 eV per atom; energy of formation = -0.39 eV/atom; space group = No. 71; crystal system = orthorhombic
1.0
4.8532 0.0205 -1.4163
-1.2351 7.9094 -4.1188
0.0557 -0.3187 9.2102
Sm Pm In
6 1 5
direct
0.1705 0.9079 0.3411
0.5000 0.2705 0.0000
0.8294 0.5668 0.6589
0.8295 0.0921 0.6589
0.1706 0.4332 0.3411
0.5000 0.7295 0.0000
0.0000 0.0000 0.0000
0.3462 0.8462 0.6924
0.3245 0.3245 0.6490
0.0000 0.5000 0.0000
0.6538 0.1538 0.3076
0.6755 0.6755 0.3510

---

Entry 2:
UAgSn (PBE, optimized geometry); electronic total energy = -5.9892 eV per atom; energy of formation = 0.06 eV/atom; space group = No. 187; crystal system = hexagonal
1.0
-1.6788 -2.5980 0.0407
4.1049 -2.6719 -1.2274
-1.1293 0.8058 4.8550
Sn Ag U
1 1 1
direct
0.1671 0.0000 0.0000
0.1661 0.6667 0.3333
0.6668 0.3333 0.6667

---

Entry 3:
PmZnNi2 (PBE, optimized geometry); electronic total energy = -4.4853 eV per atom; energy of formation = -0.09 eV/atom; space group = No. 123; crystal system = tetragonal
1.0
3.3717 0.0000 0.0000
0.0000 4.4327 0.0000
0.0000 0.0000 4.4327
Zn Pm Ni
1 1 2
direct
0.5000 0.0000 0.0000
0.5000 0.5000 0.5000
0.0000 0.0000 0.5000
0.0000 0.5000 0.0000

---

Entry 4:
Er3ThSc (PBE, optimized geometry); distance to the lowest polymorph of the same formula = 51 meV/atom; electronic total energy = -5.3914 eV per atom; energy of formation = 0.10 eV/atom; space group = No. 11; crystal system = monoclinic
1.0
3.4471 0.0002 0.0001
0.0017 8.0834 -1.4093
-0.0028 -1.3174 11.0565
Er Sc Th
6 2 2
direct
0.2502 0.0208 0.7535
0.2500 0.6116 0.1280
0.7498 0.9792 0.2465
0.2497 0.5787 0.6733
0.7503 0.4213 0.3267
0.7500 0.3884 0.8720
0.2500 0.1816 0.0605
0.7500 0.8184 0.9395
0.2501 0.8042 0.4539
0.7499 0.1958 0.5461

---

Entry 5:
ZrPd3Pt4 (PBE, optimized geometry); electronic total energy = -6.1452 eV per atom; energy of formation = -0.11 eV/atom; space group = No. 65; crystal system = orthorhombic
1.0
-1.5105 -3.6452 -0.6099
3.1520 -1.5823 1.6501
-9.7832 5.3311 5.4360
Pd Pt Zr
3 4 1
direct
0.8069 0.7272 0.6137
0.0000 0.5000 0.0000
0.1931 0.2728 0.3863
0.4019 0.1079 0.8038
0.5981 0.8921 0.1962
0.2999 0.1997 0.5998
0.7001 0.8003 0.4002
0.5000 0.0000 0.0000

---

Entry 6:
Sc2ReTc (PBE, optimized geometry); distance to the lowest polymorph of the same formula = 152 meV/atom; electronic total energy = -8.8768 eV per atom; energy of formation = -0.01 eV/atom; space group = No. 10; crystal system = monoclinic
1.0
-0.0659 4.3972 -0.3613
-2.5275 -0.1494 -1.3568
-3.2274 0.3081 4.3389
Tc Re Sc
1 1 2
direct
0.5000 0.2500 0.2500
0.5000 0.7500 0.7500
0.0000 0.0133 0.0005
0.0000 0.4867 0.4995

---

Entry 7:
Er2ThTl4 (PBE, optimized geometry); distance to the lowest polymorph of the same formula = 9 meV/atom; electronic total energy = -3.8403 eV per atom; energy of formation = -0.12 eV/atom; space group = No. 123; crystal system = tetragonal
1.0
-4.5878 -2.3480 -0.6798
2.4410 -4.3240 -1.5387
0.1940 -2.5111 7.3642
Tl Th Er
4 1 2
direct
0.0000 0.5000 0.7253
0.0000 0.5000 0.2747
0.5000 0.0000 0.7253
0.5000 0.0000 0.2747
0.5000 0.5000 0.0000
0.0000 0.0000 0.0000
0.5000 0.5000 0.5000

---

Entry 8:
Pm8Dy6Pu (PBE, optimized geometry); electronic total energy = -5.1993 eV per atom; energy of formation = 0.13 eV/atom; space group = No. 147; crystal system = trigonal
1.0
-0.6940 3.9674 -4.2792
-6.0971 -6.1867 -4.7470
-3.6284 6.4528 6.5711
Pm Dy Pu
8 6 1
direct
0.7660 0.3333 0.6667
0.2403 0.9485 0.7343
0.7597 0.2141 0.9485
0.2403 0.7859 0.0515
0.2340 0.6667 0.3333
0.7597 0.7343 0.7859
0.7597 0.0515 0.2657
0.2403 0.2657 0.2141
0.7481 0.4754 0.3815
0.2519 0.0940 0.4754
0.2519 0.5246 0.6185
0.7481 0.6185 0.0940
0.2519 0.3815 0.9060
0.7481 0.9060 0.5246
0.5000 0.0000 0.0000

---

Entry 9:
Hf3AuI (PBE, optimized geometry); distance to the lowest polymorph of the same formula = 0 meV/atom; electronic total energy = -6.2084 eV per atom; space group = No. 221; crystal system = cubic
1.0
-3.5528 -3.7820 0.3828
3.5582 -3.4930 -1.4867
1.3377 -0.7534 4.9714
Au Hf I
1 3 1
direct
0.0000 0.0000 0.0000
0.0000 0.0000 0.5000
0.0000 0.5000 0.0000
0.5000 0.0000 0.0000
0.5000 0.5000 0.5000

---

Entry 10:
Tb12Mn3N5 (PBE, optimized geometry); electronic total energy = -6.7756 eV per atom; space group = No. 230; crystal system = cubic
1.0
-9.4228 -8.4260 -4.3526
3.8919 -3.6186 12.2675
-4.9507 12.4130 0.3756
Tb Mn N
48 12 20
direct
0.9826 0.3863 0.2983
0.3863 0.9826 0.7983
0.2983 0.8863 0.9826
0.4037 0.0174 0.3157
0.1843 0.0880 0.7017
0.6137 0.0174 0.2017
0.8863 0.2983 0.4826
0.4826 0.7983 0.8863
0.3863 0.4037 0.0880
0.4037 0.3863 0.5880
0.2017 0.5174 0.6137
0.5174 0.3157 0.9037
0.0880 0.1843 0.2017
0.4826 0.6843 0.0963
0.3157 0.5174 0.4037
0.4120 0.1137 0.5963
0.2983 0.4120 0.8157
0.5174 0.2017 0.1137
0.9120 0.8157 0.7983
0.6843 0.2017 0.5880
0.7983 0.3157 0.9120
0.4120 0.2983 0.3157
0.9826 0.5963 0.1843
0.0963 0.1843 0.4826
0.8157 0.9037 0.0174
0.9037 0.0880 0.8863
0.1137 0.4120 0.0963
0.0880 0.9037 0.3863
0.1137 0.7017 0.5174
0.0963 0.9120 0.1137
0.5880 0.7017 0.6843
0.1843 0.0963 0.9826
0.6137 0.5963 0.9120
0.2017 0.6843 0.0880
0.8157 0.9120 0.2983
0.7017 0.5880 0.1843
0.5963 0.9826 0.6843
0.3157 0.7983 0.4120
0.7983 0.4826 0.3863
0.9037 0.8157 0.5174
0.7017 0.1137 0.0174
0.0174 0.6137 0.7017
0.9120 0.0963 0.6137
0.5963 0.6137 0.4120
0.6843 0.4826 0.5963
0.5880 0.8863 0.4037
0.0174 0.4037 0.8157
0.8863 0.5880 0.9037
0.2500 0.1250 0.3750
0.3750 0.6250 0.2500
0.2500 0.6250 0.8750
0.6250 0.3750 0.7500
0.8750 0.1250 0.2500
0.7500 0.3750 0.1250
0.3750 0.7500 0.6250
0.8750 0.7500 0.1250
0.1250 0.2500 0.8750
0.7500 0.8750 0.6250
0.6250 0.2500 0.3750
0.1250 0.8750 0.7500
0.8750 0.6250 0.7500
0.1250 0.7500 0.3750
0.6250 0.7500 0.8750
0.0000 0.5000 0.5000
0.2500 0.8750 0.1250
0.7500 0.6250 0.3750
0.1250 0.3750 0.2500
0.0000 0.0000 0.5000
0.7500 0.1250 0.8750
0.5000 0.0000 0.0000
0.8750 0.2500 0.6250
0.6250 0.8750 0.2500
0.0000 0.5000 0.0000
0.3750 0.1250 0.7500
0.3750 0.2500 0.1250
0.5000 0.0000 0.5000
0.5000 0.5000 0.0000
0.2500 0.3750 0.6250
0.5000 0.5000 0.5000
0.0000 0.0000 0.0000

---

Entry 11:
Ba2RhNCl (PBE, optimized geometry); electronic total energy = -5.3200 eV per atom; space group = No. 123; crystal system = tetragonal
1.0
5.7656 0.0000 0.0000
0.0000 5.7656 0.0000
0.0000 0.0000 3.8348
N Rh Cl Ba
1 1 1 2
direct
0.0000 0.0000 0.0000
0.0000 0.0000 0.5000
0.5000 0.5000 0.5000
0.5000 0.0000 0.0000
0.0000 0.5000 0.0000